one:
A plane-wave DFT calculation with GGA-PBE was carried out for a relaxed structure of TbNd12Y7.

Cell: 6.842 11.166 11.166 Å, 64.06 78.21 101.79°
Positions (direct):
1 Nd 0.496 0.210 0.577
2 Nd 0.074 0.577 0.213
3 Tb 0.000 0.000 0.000
4 Nd 0.286 0.213 0.210
5 Y 0.216 0.838 0.859
6 Nd 0.793 0.065 0.458
7 Nd 0.504 0.790 0.423
8 Y 0.623 0.698 0.162
9 Nd 0.749 0.542 0.523
10 Nd 0.728 0.477 0.065
11 Nd 0.714 0.787 0.790
12 Nd 0.272 0.523 0.935
13 Nd 0.207 0.935 0.542
14 Y 0.784 0.162 0.141
15 Y 0.075 0.859 0.302
16 Nd 0.926 0.423 0.787
17 Y 0.377 0.302 0.838
18 Y 0.925 0.141 0.698
19 Y 0.500 0.000 0.000
20 Nd 0.251 0.458 0.477

Results
The symmetry is R-3, No. 148. The volume is 35.4 A^3/atom. For the total magnetization, the calculation gives 0.0 μB/f.u.

***

two:
A plane-wave DFT calculation with GGA-PBE was carried out for a relaxed structure of TbNd12Y7.

Cell: 8.858 8.858 8.858 Å, 88.40 88.40 88.40°
Positions (direct):
1 Y 0.067 0.149 0.388
2 Nd 0.139 0.490 0.614
3 Nd 0.614 0.139 0.490
4 Nd 0.861 0.510 0.386
5 Tb 0.000 0.000 0.000
6 Nd 0.147 0.740 0.274
7 Y 0.851 0.612 0.933
8 Y 0.149 0.388 0.067
9 Nd 0.386 0.861 0.510
10 Nd 0.510 0.386 0.861
11 Nd 0.853 0.260 0.726
12 Nd 0.726 0.853 0.260
13 Y 0.500 0.500 0.500
14 Nd 0.260 0.726 0.853
15 Y 0.388 0.067 0.149
16 Y 0.612 0.933 0.851
17 Nd 0.490 0.614 0.139
18 Nd 0.740 0.274 0.147
19 Y 0.933 0.851 0.612
20 Nd 0.274 0.147 0.740

Results
The symmetry is R-3, No. 148. The volume is 34.7 A^3/atom. For the total magnetization, the calculation gives 0.0 μB/f.u.

***

Here is how they stack up, most stable first: two, one.

***

one:
A plane-wave DFT calculation with GGA-PBE was carried out for a relaxed structure of Tb3Nd4Y.

Cell: 3.518 6.854 11.973 Å, 106.47 98.45 90.00°
Positions (direct):
1 Nd 0.124 0.369 0.248
2 Nd 0.741 0.236 0.481
3 Tb 0.123 0.882 0.246
4 Nd 0.259 0.764 0.519
5 Y 0.500 0.000 0.000
6 Tb 0.000 0.500 0.000
7 Nd 0.876 0.631 0.752
8 Tb 0.877 0.118 0.754

Results
The symmetry is C2/m, No. 12. The volume is 34.2 A^3/atom. For the total magnetization, the calculation gives 0.0 μB/f.u.

***

two:
A plane-wave DFT calculation with GGA-PBE was carried out for a relaxed structure of Tb3Nd4Y.

Cell: 6.345 7.352 11.665 Å, 90.00 90.00 90.00°
Positions (direct):
1 Tb 0.481 0.378 0.250
2 Nd 0.481 0.872 0.750
3 Nd 0.647 0.127 0.500
4 Nd 0.147 0.873 0.000
5 Tb 0.648 0.622 0.000
6 Tb 0.981 0.622 0.250
7 Nd 0.481 0.872 0.250
8 Y 0.149 0.378 0.000
9 Nd 0.147 0.873 0.500
10 Nd 0.647 0.127 0.000
11 Tb 0.148 0.378 0.500
12 Tb 0.481 0.378 0.750
13 Y 0.649 0.622 0.500
14 Nd 0.981 0.128 0.250
15 Tb 0.981 0.622 0.750
16 Nd 0.981 0.128 0.750

Results
The symmetry is Pmn2_1, No. 31. The volume is 34.0 A^3/atom. For the total magnetization, the calculation gives 0.0 μB/f.u.

***

Here is how they stack up, most stable first: two, one.

***

one:
A plane-wave DFT calculation with GGA-PBE was carried out for a relaxed structure of Tb4Nd5Y2.

Cell: 3.503 8.867 12.223 Å, 97.31 98.24 90.00°
Positions (direct):
1 Nd 0.768 0.181 0.537
2 Tb 0.954 0.637 0.909
3 Tb 0.676 0.471 0.351
4 Y 0.092 0.733 0.184
5 Nd 0.232 0.819 0.463
6 Y 0.908 0.267 0.816
7 Tb 0.046 0.363 0.091
8 Nd 0.861 0.881 0.722
9 Nd 0.500 0.000 0.000
10 Tb 0.324 0.529 0.649
11 Nd 0.139 0.119 0.278

Results
The symmetry is C2/m, No. 12. The volume is 33.9 A^3/atom. For the total magnetization, the calculation gives 0.0 μB/f.u.

***

two:
A plane-wave DFT calculation with GGA-PBE was carried out for a relaxed structure of Tb4Nd5Y2.

Cell: 7.381 6.717 10.121 Å, 63.78 68.61 56.67°
Positions (direct):
1 Nd 0.651 0.369 0.767
2 Nd 0.787 0.631 0.233
3 Tb 0.336 0.213 0.116
4 Y 0.145 0.831 0.880
5 Tb 0.664 0.787 0.884
6 Tb 0.303 0.897 0.497
7 Nd 0.349 0.631 0.233
8 Tb 0.697 0.103 0.503
9 Nd 0.000 0.500 0.500
10 Nd 0.213 0.369 0.767
11 Y 0.855 0.169 0.120

Results
The symmetry is C2/m, No. 12. The volume is 33.7 A^3/atom. For the total magnetization, the calculation gives 0.0 μB/f.u.

***

Here is how they stack up, most stable first: two, one.

***

one:
A plane-wave DFT calculation with GGA-PBE was carried out for a relaxed structure of Tb5Nd3Y.

Cell: 10.630 10.630 11.568 Å, 59.59 59.59 33.90°
Positions (direct):
1 Nd 0.386 0.974 0.162
2 Tb 0.593 0.054 0.526
3 Tb 0.450 0.837 0.844
4 Tb 0.163 0.550 0.656
5 Tb 0.555 0.445 0.750
6 Nd 0.026 0.614 0.338
7 Nd 0.000 0.000 0.000
8 Tb 0.407 0.946 0.474
9 Tb 0.946 0.407 0.974
10 Tb 0.445 0.555 0.250
11 Y 0.065 0.935 0.750
12 Tb 0.837 0.450 0.344
13 Tb 0.550 0.163 0.156
14 Nd 0.000 0.000 0.500
15 Y 0.935 0.065 0.250
16 Tb 0.054 0.593 0.026
17 Nd 0.614 0.026 0.838
18 Nd 0.974 0.386 0.662

Results
The symmetry is C2/c, No. 15. The volume is 34.4 A^3/atom. For the total magnetization, the calculation gives 0.0 μB/f.u.

***

two:
A plane-wave DFT calculation with GGA-PBE was carried out for a relaxed structure of Tb5Nd3Y.

Cell: 9.588 9.588 11.744 Å, 52.50 52.50 73.46°
Positions (direct):
1 Nd 0.000 0.000 0.000
2 Tb 0.817 0.817 0.960
3 Tb 0.495 0.495 0.226
4 Tb 0.658 0.156 0.749
5 Tb 0.183 0.183 0.040
6 Nd 0.339 0.339 0.642
7 Tb 0.744 0.256 0.000
8 Tb 0.844 0.342 0.251
9 Tb 0.342 0.844 0.251
10 Nd 0.661 0.661 0.358
11 Y 0.845 0.845 0.402
12 Tb 0.256 0.744 0.000
13 Nd 0.305 0.305 0.188
14 Y 0.155 0.155 0.598
15 Nd 0.695 0.695 0.812
16 Nd 0.000 0.000 0.500
17 Tb 0.156 0.658 0.749
18 Tb 0.505 0.505 0.774

Results
The symmetry is C2/m, No. 12. The volume is 37.4 A^3/atom. For the total magnetization, the calculation gives 0.0 μB/f.u.

***

Here is how they stack up, most stable first: one, two.

***

one:
A plane-wave DFT calculation with GGA-PBE was carried out for a relaxed structure of Tb12Nd6Y.

Cell: 8.791 8.791 8.791 Å, 98.73 98.73 98.73°
Positions (direct):
1 Tb 0.500 0.242 0.758
2 Tb 0.242 0.758 0.500
3 Nd 0.657 0.096 0.096
4 Tb 0.242 0.500 0.758
5 Nd 0.343 0.904 0.904
6 Tb 0.644 0.644 0.917
7 Tb 0.356 0.356 0.083
8 Y 0.000 0.000 0.000
9 Tb 0.917 0.644 0.644
10 Tb 0.500 0.758 0.242
11 Nd 0.096 0.096 0.657
12 Nd 0.904 0.904 0.343
13 Tb 0.356 0.083 0.356
14 Tb 0.644 0.917 0.644
15 Tb 0.083 0.356 0.356
16 Tb 0.758 0.242 0.500
17 Nd 0.904 0.343 0.904
18 Nd 0.096 0.657 0.096
19 Tb 0.758 0.500 0.242

Results
The symmetry is R-3m, No. 166. The volume is 34.4 A^3/atom. For the total magnetization, the calculation gives 0.0 μB/f.u.

***

two:
A plane-wave DFT calculation with GGA-PBE was carried out for a relaxed structure of Tb12Nd6Y.

Cell: 8.733 8.733 8.733 Å, 79.56 79.56 79.56°
Positions (direct):
1 Nd 0.767 0.768 0.164
2 Tb 0.196 0.514 0.514
3 Tb 0.864 0.513 0.864
4 Tb 0.486 0.804 0.486
5 Nd 0.164 0.767 0.768
6 Nd 0.768 0.164 0.767
7 Tb 0.136 0.136 0.487
8 Nd 0.836 0.233 0.232
9 Nd 0.233 0.232 0.836
10 Tb 0.136 0.487 0.136
11 Tb 0.514 0.514 0.196
12 Tb 0.864 0.864 0.513
13 Tb 0.487 0.136 0.136
14 Y 0.000 0.000 0.000
15 Tb 0.514 0.196 0.514
16 Nd 0.232 0.836 0.233
17 Tb 0.804 0.486 0.486
18 Tb 0.486 0.486 0.804
19 Tb 0.513 0.864 0.864

Results
The symmetry is R-3m, No. 166. The volume is 33.5 A^3/atom. For the total magnetization, the calculation gives 0.0 μB/f.u.

***

Here is how they stack up, most stable first: two, one.

***

one:
A plane-wave DFT calculation with GGA-PBE was carried out for a relaxed structure of Tb3Nd6Y2.

Cell: 4.774 4.774 17.451 Å, 97.86 97.86 90.00°
Positions (direct):
1 Tb 0.805 0.805 0.610
2 Tb 0.000 0.000 0.000
3 Nd 0.295 0.295 0.590
4 Nd 0.705 0.705 0.410
5 Y 0.455 0.455 0.909
6 Y 0.545 0.545 0.091
7 Nd 0.621 0.121 0.242
8 Nd 0.379 0.879 0.758
9 Tb 0.195 0.195 0.390
10 Nd 0.121 0.621 0.242
11 Nd 0.879 0.379 0.758

Results
The symmetry is I4/mmm, No. 139. The volume is 35.5 A^3/atom. For the total magnetization, the calculation gives 0.0 μB/f.u.

***

two:
A plane-wave DFT calculation with GGA-PBE was carried out for a relaxed structure of Tb3Nd6Y2.

Cell: 3.632 3.632 32.518 Å, 86.80 86.80 60.00°
Positions (direct):
1 Tb 0.000 0.000 0.000
2 Y 0.546 0.546 0.362
3 Nd 0.818 0.818 0.547
4 Nd 0.363 0.363 0.910
5 Nd 0.090 0.090 0.729
6 Nd 0.182 0.182 0.453
7 Tb 0.273 0.273 0.181
8 Tb 0.727 0.727 0.819
9 Nd 0.910 0.910 0.271
10 Y 0.454 0.454 0.638
11 Nd 0.637 0.637 0.090

Results
The symmetry is R-3m, No. 166. The volume is 33.7 A^3/atom. For the total magnetization, the calculation gives 0.0 μB/f.u.

***

Here is how they stack up, most stable first: two, one.